{"formula": "LaZrW2", "functional": "GGA-PBE", "state": "relaxed", "cell": [[2.946, 0.000, 0.000], [0.000, 4.770, 0.000], [-0.920, 0.000, 6.317]], "species": ["La", "Zr", "W", "W"], "fractional_positions": [[0.000, 0.000, 0.000], [0.500, 0.000, 0.500], [0.190, 0.500, 0.687], [0.810, 0.500, 0.313]], "volume_a3_per_cell": 89, "formation_energy_ev_per_fu": 2.30, "de_polymorph_mev_per_atom": 325, "e_tot_ev_per_atom": -9.27}

***

{"formula": "CeDy2Tl4", "functional": "GGA-PBE", "state": "relaxed", "cell": [[2.468, 1.425, 10.082], [-2.468, 1.425, 10.082], [0.000, -2.849, 10.082]], "species": ["Ce", "Dy", "Dy", "Tl", "Tl", "Tl", "Tl"], "fractional_positions": [[0.000, 0.000, 0.000], [0.129, 0.129, 0.129], [0.871, 0.871, 0.871], [0.243, 0.243, 0.243], [0.385, 0.385, 0.385], [0.615, 0.615, 0.615], [0.757, 0.757, 0.757]], "volume_a3_per_cell": 213, "formation_energy_ev_per_fu": -0.59, "de_polymorph_mev_per_atom": 83, "e_tot_ev_per_atom": -3.60}

***

{"formula": "NaSr3Pd", "functional": "GGA-PBE", "state": "relaxed", "cell": [[6.041, 0.000, 0.000], [0.000, 6.041, 0.000], [0.000, 0.000, 6.041]], "species": ["Na", "Sr", "Sr", "Sr", "Pd"], "fractional_positions": [[0.000, 0.000, 0.000], [0.000, 0.500, 0.500], [0.500, 0.000, 0.500], [0.500, 0.500, 0.000], [0.500, 0.500, 0.500]], "volume_a3_per_cell": 220, "formation_energy_ev_per_fu": -1.43, "de_polymorph_mev_per_atom": 0, "e_tot_ev_per_atom": -2.60}

***

{"formula": "CuPtAu2", "functional": "GGA-PBE", "state": "relaxed", "cell": [[4.663, -1.428, 0.000], [4.663, 1.428, 0.000], [-1.002, 0.000, 4.842]], "species": ["Cu", "Pt", "Au", "Au"], "fractional_positions": [[0.000, 0.000, 0.000], [0.737, 0.737, 0.236], [0.254, 0.254, 0.755], [0.493, 0.493, 0.487]], "volume_a3_per_cell": 64, "formation_energy_ev_per_fu": -0.07, "de_polymorph_mev_per_atom": 30, "e_tot_ev_per_atom": -4.19}

***

{"formula": "AcSmTm2As4", "functional": "GGA-PBE", "state": "relaxed", "cell": [[7.316, 0.000, 0.000], [0.000, 4.231, 0.000], [-2.440, 0.000, 6.913]], "species": ["Ac", "Sm", "Tm", "Tm", "As", "As", "As", "As"], "fractional_positions": [[0.000, 0.000, 0.000], [0.000, 0.500, 0.500], [0.500, 0.000, 0.500], [0.500, 0.500, 0.000], [0.265, 0.000, 0.747], [0.271, 0.500, 0.265], [0.729, 0.500, 0.735], [0.735, 0.000, 0.253]], "volume_a3_per_cell": 214, "formation_energy_ev_per_fu": -11.69, "e_tot_ev_per_atom": -6.01}

***

{"formula": "Ca8LaPd6", "functional": "GGA-PBE", "state": "relaxed", "cell": [[4.332, 2.501, 6.192], [-4.332, 2.501, 6.192], [0.000, -5.002, 6.192]], "species": ["Ca", "Ca", "Ca", "Ca", "Ca", "Ca", "Ca", "Ca", "La", "Pd", "Pd", "Pd", "Pd", "Pd", "Pd"], "fractional_positions": [[0.027, 0.403, 0.732], [0.158, 0.158, 0.158], [0.268, 0.973, 0.597], [0.403, 0.732, 0.027], [0.597, 0.268, 0.973], [0.732, 0.027, 0.403], [0.842, 0.842, 0.842], [0.973, 0.597, 0.268], [0.500, 0.500, 0.500], [0.125, 0.772, 0.446], [0.228, 0.554, 0.875], [0.446, 0.125, 0.772], [0.554, 0.875, 0.228], [0.772, 0.446, 0.125], [0.875, 0.228, 0.554]], "volume_a3_per_cell": 402, "formation_energy_ev_per_fu": -8.96, "e_tot_ev_per_atom": -4.07}

***

{"formula": "Y2AlIn", "functional": "GGA-PBE", "state": "relaxed", "cell": [[0.000, 3.711, 3.711], [3.711, 0.000, 3.711], [3.711, 3.711, 0.000]], "species": ["Y", "Y", "Al", "In"], "fractional_positions": [[0.000, 0.000, 0.000], [0.250, 0.250, 0.250], [0.500, 0.500, 0.500], [0.750, 0.750, 0.750]], "volume_a3_per_cell": 102, "formation_energy_ev_per_fu": 0.21, "e_tot_ev_per_atom": -4.80}

***

{"formula": "Tb5ScCd4", "functional": "GGA-PBE", "state": "relaxed", "cell": [[3.694, 0.000, 0.000], [0.000, 3.694, 0.000], [0.000, 0.000, 19.768]], "species": ["Tb", "Tb", "Tb", "Tb", "Tb", "Sc", "Cd", "Cd", "Cd", "Cd"], "fractional_positions": [[0.000, 0.000, 0.000], [0.000, 0.000, 0.195], [0.000, 0.000, 0.393], [0.000, 0.000, 0.607], [0.000, 0.000, 0.805], [0.500, 0.500, 0.500], [0.500, 0.500, 0.097], [0.500, 0.500, 0.294], [0.500, 0.500, 0.706], [0.500, 0.500, 0.903]], "volume_a3_per_cell": 270, "formation_energy_ev_per_fu": -2.37, "e_tot_ev_per_atom": -3.55}

***

{"formula": "Pr3Dy12Pu", "functional": "GGA-PBE", "state": "relaxed", "cell": [[5.046, 0.000, 0.000], [0.000, 5.046, 0.000], [0.000, 0.000, 20.130]], "species": ["Pr", "Pr", "Pr", "Dy", "Dy", "Dy", "Dy", "Dy", "Dy", "Dy", "Dy", "Dy", "Dy", "Dy", "Dy", "Pu"], "fractional_positions": [[0.000, 0.000, 0.000], [0.000, 0.000, 0.253], [0.000, 0.000, 0.747], [0.000, 0.500, 0.127], [0.000, 0.500, 0.380], [0.000, 0.500, 0.620], [0.000, 0.500, 0.873], [0.500, 0.000, 0.127], [0.500, 0.000, 0.380], [0.500, 0.000, 0.620], [0.500, 0.000, 0.873], [0.500, 0.500, 0.000], [0.500, 0.500, 0.253], [0.500, 0.500, 0.500], [0.500, 0.500, 0.747], [0.000, 0.000, 0.500]], "volume_a3_per_cell": 513, "formation_energy_ev_per_fu": 0.71, "e_tot_ev_per_atom": -5.20}

***

{"formula": "BaTaCdIr2", "functional": "GGA-PBE", "state": "relaxed", "cell": [[5.007, 0.000, 0.000], [0.000, 5.007, 0.000], [0.000, 0.000, 5.433]], "species": ["Ba", "Ta", "Cd", "Ir", "Ir"], "fractional_positions": [[0.000, 0.000, 0.000], [0.500, 0.500, 0.000], [0.000, 0.000, 0.500], [0.000, 0.500, 0.500], [0.500, 0.000, 0.500]], "volume_a3_per_cell": 136, "formation_energy_ev_per_fu": 9.94, "e_tot_ev_per_atom": -4.49}

***

{"formula": "CrCd2Rh2", "functional": "GGA-PBE", "state": "relaxed", "cell": [[6.454, 0.000, 0.000], [0.000, 6.454, 0.000], [0.000, 0.000, 4.260]], "species": ["Cr", "Cr", "Cd", "Cd", "Cd", "Cd", "Rh", "Rh", "Rh", "Rh"], "fractional_positions": [[0.000, 0.000, 0.000], [0.500, 0.500, 0.000], [0.167, 0.333, 0.500], [0.333, 0.833, 0.500], [0.667, 0.167, 0.500], [0.833, 0.667, 0.500], [0.140, 0.640, 0.000], [0.360, 0.140, 0.000], [0.640, 0.860, 0.000], [0.860, 0.360, 0.000]], "volume_a3_per_cell": 177, "formation_energy_ev_per_fu": 0.53, "e_tot_ev_per_atom": -5.13}

***

{"formula": "KTe2CN", "functional": "GGA-PBE", "state": "relaxed", "cell": [[6.705, 0.000, 0.000], [0.000, 6.705, 0.000], [0.000, 0.000, 2.674]], "species": ["K", "Te", "Te", "C", "N"], "fractional_positions": [[0.000, 0.000, 0.000], [0.000, 0.500, 0.500], [0.500, 0.000, 0.500], [0.500, 0.500, 0.500], [0.500, 0.500, 0.000]], "volume_a3_per_cell": 120, "de_polymorph_mev_per_atom": 0, "e_tot_ev_per_atom": -4.42}